No. 1
The following is a meta-GGA SCAN calculation of a PBEsol-optimized structure of Ca2OsAu, from the Alexandria database.

Mass density, g/cm³: 9.23
Total energy, eV per cell: -478.481
Magnetic moment, Bohr magnetons per cell: 0.0
Calculated formation energy, eV per atom: 0.218

abc: 3.3058 3.3058 26.6620
angles: 90.00 90.00 120.00
Space group R-3m (No. 166, hexagonal axes)
Asymmetric unit:
Ca 0.0000 0.0000 0.2450
Os 0.0000 0.0000 0.5000
Au 0.0000 0.0000 0.0000

=====

No. 2
The following is a meta-GGA SCAN calculation of a PBEsol-optimized structure of SbMo3As, from the Alexandria database.

Mass density, g/cm³: 8.35
Total energy, eV per cell: -156.837
Magnetic moment, Bohr magnetons per cell: 0.1
Energy relative to the elements, uncorrected, eV/atom: 1.05

abc: 4.584 4.584 4.584
angles: 90.00 90.00 90.00
Space group Pm-3m (No. 221)
Asymmetric unit:
Sb 0.000 0.000 0.000
Mo 0.000 0.500 0.500
As 0.500 0.500 0.500

=====

No. 3
The following is a meta-GGA SCAN calculation of a PBEsol-optimized structure of MnCo4Ir, from the Alexandria database.

Mass density, g/cm³: 11.49
Total energy, eV per cell: -635.724
Magnetic moment, Bohr magnetons per cell: 47.3
Calculated formation energy, eV per atom: -0.060

abc: 6.535 6.535 6.535
angles: 90.00 90.00 90.00
Space group F-43m (No. 216)
Asymmetric unit:
Mn 0.000 0.000 0.000
Co 0.126 0.126 0.374
Ir 0.250 0.250 0.750

=====

No. 4
The following is a meta-GGA SCAN calculation of a PBEsol-optimized structure of Ca5Pt, from the Alexandria database.

Mass density, g/cm³: 3.51
Total energy, eV per cell: -239.719
Magnetic moment, Bohr magnetons per cell: 0.0
Calculated formation energy, eV per atom: -0.225

abc: 5.620 4.256 15.635
angles: 90.00 90.00 90.00
Space group Amm2 (No. 38)
Asymmetric unit:
Ca 0.000 0.000 0.000
Ca 0.000 0.000 0.255
Ca 0.500 0.000 0.128
Ca 0.500 0.000 0.465
Ca 0.500 0.000 0.792
Pt 0.000 0.000 0.628

=====

No. 5
The following is a meta-GGA SCAN calculation of a PBEsol-optimized structure of Y2SiW, from the Alexandria database.

Mass density, g/cm³: 7.33
Total energy, eV per cell: -135.514
Magnetic moment, Bohr magnetons per cell: 0.0
Energy relative to the elements, uncorrected, eV/atom: -0.03

abc: 3.356 3.356 7.837
angles: 90.00 90.00 90.00
Space group P4mm (No. 99)
Asymmetric unit:
Y 0.000 0.000 0.000
Y 0.500 0.500 0.388
Si 0.000 0.000 0.622
W 0.500 0.500 0.748

=====

No. 6
The following is a meta-GGA SCAN calculation of a PBEsol-optimized structure of SrLaRh4, from the Alexandria database.

Mass density, g/cm³: 9.67
Total energy, eV per cell: -814.681
Magnetic moment, Bohr magnetons per cell: 0.0
Calculated formation energy, eV per atom: -0.534

abc: 7.597 7.597 7.597
angles: 90.00 90.00 90.00
Space group F-43m (No. 216)
Asymmetric unit:
Sr 0.000 0.000 0.000
La 0.250 0.250 0.750
Rh 0.125 0.125 0.375

=====

No. 7
The following is a meta-GGA SCAN calculation of a PBEsol-optimized structure of SrIrW, from the Alexandria database.

Mass density, g/cm³: 11.79
Total energy, eV per cell: -324.277
Magnetic moment, Bohr magnetons per cell: 0.0
Calculated formation energy, eV per atom: 0.308

abc: 3.268 3.268 12.229
angles: 90.00 90.00 90.00
Space group I4mm (No. 107)
Asymmetric unit:
Sr 0.000 0.000 0.000
Ir 0.000 0.000 0.703
W 0.000 0.000 0.288

=====

No. 8
The following is a meta-GGA SCAN calculation of a PBEsol-optimized structure of SrSeBr2O, from the Alexandria database.

Mass density, g/cm³: 5.34
Total energy, eV per cell: -91.216
Magnetic moment, Bohr magnetons per cell: 0.0
Energy relative to the elements, uncorrected, eV/atom: -0.74

abc: 4.926 4.926 4.386
angles: 90.00 90.00 90.00
Space group P4/mmm (No. 123)
Asymmetric unit:
Sr 0.000 0.000 0.000
Se 0.500 0.500 0.000
Br 0.000 0.500 0.500
O 0.500 0.500 0.500

=====

No. 9
The following is a meta-GGA SCAN calculation of a PBEsol-optimized structure of CaMnCd2, from the Alexandria database.

Mass density, g/cm³: 6.32
Total energy, eV per cell: -178.600
Magnetic moment, Bohr magnetons per cell: 9.7
Calculated formation energy, eV per atom: -0.138

abc: 4.920 4.920 6.942
angles: 90.00 90.00 90.00
Space group I-4m2 (No. 119)
Asymmetric unit:
Ca 0.000 0.000 0.000
Mn 0.000 0.500 0.750
Cd 0.000 0.000 0.500
Cd 0.000 0.500 0.250

=====

No. 10
The following is a meta-GGA SCAN calculation of a PBEsol-optimized structure of LiMg2Al2, from the Alexandria database.

Mass density, g/cm³: 1.77
Total energy, eV per cell: -54.844
Magnetic moment, Bohr magnetons per cell: 0.0
Calculated formation energy, eV per atom: 0.084

abc: 8.360 8.360 2.936
angles: 90.00 90.00 90.00
Space group P4/mbm (No. 127)
Asymmetric unit:
Li 0.000 0.000 0.000
Mg 0.129 0.371 0.000
Al 0.169 0.669 0.500

=====

No. 11
The following is a meta-GGA SCAN calculation of a PBEsol-optimized structure of AgMo2As, from the Alexandria database.

Mass density, g/cm³: 9.94
Total energy, eV per cell: -476.032
Magnetic moment, Bohr magnetons per cell: 0.0
Calculated formation energy, eV per atom: 0.580

abc: 6.303 6.303 6.303
angles: 90.00 90.00 90.00
Space group F-43m (No. 216)
Asymmetric unit:
Ag 0.000 0.000 0.000
Mo 0.000 0.000 0.500
Mo 0.250 0.250 0.250
As 0.250 0.250 0.750

=====

No. 12
The following is a meta-GGA SCAN calculation of a PBEsol-optimized structure of Sc2TlPt, from the Alexandria database.

Mass density, g/cm³: 10.27
Total energy, eV per cell: -174.922
Magnetic moment, Bohr magnetons per cell: 0.0
Calculated formation energy, eV per atom: -0.974

abc: 3.351 3.351 7.044
angles: 90.00 90.00 90.00
Space group P4/mmm (No. 123)
Asymmetric unit:
Sc 0.000 0.000 0.219
Tl 0.500 0.500 0.500
Pt 0.500 0.500 0.000